1.
Here is a relaxed CePrNb2O8 crystal from Alexandria via LeMat-Bulk. Energies are from PBE-GGA.

Summary:
* E_form (uncorrected): -3.02 eV/atom
* DOS(E_F): 7.8 states/eV/f.u.
* raw total energy: -106.765 eV/cell

Unit cell a=5.4046 b=5.4046 c=6.9410 alpha=112.91 beta=112.91 gamma=90.00
Last column: nearest neighbours and their distance in Å.
Fractional positions:
Ce 0.7500 0.2500 0.5000  8 O 2.47-2.50
Pr 0.0000 0.0000 0.0000  8 O 2.48-2.50
Nb 0.5000 0.5000 0.0000  4 O 1.90
Nb 0.2500 0.7500 0.5000  4 O 1.90
O 0.7520 0.8344 0.1740  1 Nb 1.90
O 0.4221 0.3397 0.1740  1 Nb 1.90
O 0.5847 0.6697 0.6726  1 Nb 1.90
O 0.0879 0.0028 0.6726  1 Nb 1.90
O 0.9972 0.4153 0.3274  1 Nb 1.90
O 0.3303 0.9121 0.3274  1 Nb 1.90
O 0.1656 0.5779 0.8260  1 Nb 1.90
O 0.6603 0.2480 0.8260  1 Nb 1.90



2.
Here is a relaxed Rb3CeNb2O8 crystal from Alexandria via LeMat-Bulk. Energies are from PBE-GGA.

Summary:
* E_form (uncorrected): -2.52 eV/atom
* DOS(E_F): 3.7 states/eV/f.u.
* raw total energy: -103.925 eV/cell

Unit cell a=6.3995 b=6.3995 c=8.1244 alpha=90.00 beta=90.00 gamma=120.00
Last column: nearest neighbours and their distance in Å.
Fractional positions:
Rb 0.3333 0.6667 0.6883  1 O 2.67
Rb 0.6667 0.3333 0.3117  1 O 2.67
Rb 0.0000 0.0000 0.0000  6 O 3.25
Ce 0.0000 0.0000 0.5000  6 O 2.39
Nb 0.3333 0.6667 0.2412  4 O 1.82-1.90
Nb 0.6667 0.3333 0.7588  4 O 1.82-1.90
O 0.3333 0.6667 0.0173  1 Nb 1.82
O 0.6667 0.3333 0.9827  1 Nb 1.82
O 0.1726 0.8274 0.3234  1 Nb 1.90
O 0.8274 0.1726 0.6766  1 Nb 1.90
O 0.1726 0.3451 0.3234  1 Nb 1.90
O 0.8274 0.6549 0.6766  1 Nb 1.90
O 0.6549 0.8274 0.3234  1 Nb 1.90
O 0.3451 0.1726 0.6766  1 Nb 1.90



3.
Here is a relaxed RbCeNbO5 crystal from Alexandria via LeMat-Bulk. Energies are from PBE-GGA.

Summary:
* E_form (uncorrected): -2.77 eV/atom
* DOS(E_F): 0.0 states/eV/f.u.
* raw total energy: -127.851 eV/cell

Unit cell a=6.5294 b=6.5294 c=8.1872 alpha=104.32 beta=104.32 gamma=106.18
Last column: nearest neighbours and their distance in Å.
Fractional positions:
Rb 0.3285 0.6715 0.2500  7 O 2.84-3.02
Rb 0.6715 0.3285 0.7500  7 O 2.84-3.02
Ce 0.0000 0.0000 0.5000  6 O 2.13-2.36
Ce 0.0000 0.0000 0.0000  6 O 2.13-2.36
Nb 0.6877 0.3123 0.2500  4 O 1.87-1.89
Nb 0.3123 0.6877 0.7500  4 O 1.87-1.89
O 0.0563 0.9437 0.2500  2 Ce 2.13
O 0.9437 0.0563 0.7500  2 Ce 2.13
O 0.8783 0.2944 0.1110  1 Nb 1.89
O 0.1217 0.7056 0.8890  1 Nb 1.89
O 0.7056 0.1217 0.3890  1 Nb 1.89
O 0.2944 0.8783 0.6110  1 Nb 1.89
O 0.7708 0.6122 0.3986  1 Nb 1.87
O 0.2292 0.3878 0.6014  1 Nb 1.87
O 0.3878 0.2292 0.1014  1 Nb 1.87
O 0.6122 0.7708 0.8986  1 Nb 1.87



E_form (uncorrected) of number 3 (RbCeNbO5)?
-2.77 eV/atom